# 1
! ZnRu2Rh GGA-PBE optimized geometry; values from VASP
&SYSTEM
  ibrav = 0, nat = 4, ntyp = 3
/
ATOMIC_SPECIES
Rh 102.91 Rh.upf
Ru 101.07 Ru.upf
Zn 65.41 Zn.upf
CELL_PARAMETERS angstrom
4.670 0.002 0.003
3.875 2.607 0.003
0.777 0.237 4.618
ATOMIC_POSITIONS angstrom
Rh 2.382 0.727 1.264
Ru 6.971 2.128 3.587
Ru 9.288 2.836 4.489
Zn 4.665 1.424 2.220
! Calculated volume, Å³/cell: 56.2
! Total DFT energy (no corrections), eV per atom: -6.774
! DFT formation energy, meV per atom: 20
! Magnetization, μB/atom: 0.00

---

# 2
! SiSnSO2 GGA-PBE optimized geometry; values from VASP
&SYSTEM
  ibrav = 0, nat = 5, ntyp = 4
/
ATOMIC_SPECIES
Si 28.09 Si.upf
Sn 118.71 Sn.upf
S 32.06 S.upf
O 16.00 O.upf
CELL_PARAMETERS angstrom
3.727 0.000 0.000
0.000 4.698 0.000
0.000 0.000 3.727
ATOMIC_POSITIONS angstrom
Si 0.000 0.000 0.000
Sn 1.864 2.349 1.864
S 0.000 2.349 0.000
O 1.864 0.000 0.000
O 0.000 0.000 1.864
! Calculated volume, Å³/cell: 65.3
! Total DFT energy (no corrections), eV per atom: -5.762
! Uncorrected formation energy, eV/atom: -1.0679
! Magnetization, μB/atom: 0.00

---

# 3
! MnOsW2 GGA-PBE optimized geometry; values from VASP
&SYSTEM
  ibrav = 0, nat = 4, ntyp = 3
/
ATOMIC_SPECIES
Mn 54.94 Mn.upf
W 183.84 W.upf
Os 190.23 Os.upf
CELL_PARAMETERS angstrom
-2.698 0.687 -4.275
-3.533 -3.524 -1.060
1.514 3.410 3.479
ATOMIC_POSITIONS angstrom
Mn -2.567 -0.766 -0.124
W -3.101 -1.412 -2.655
W -0.015 -0.007 -0.012
Os -2.150 1.339 -1.732
! Calculated volume, Å³/cell: 59.4
! Total DFT energy (no corrections), eV per atom: -11.466
! DFT formation energy, meV per atom: 111
! Magnetization, μB/atom: 0.68
! Distance to the lowest polymorph of the same formula, eV/atom: 0.004

---

# 4
! Zr3FeB GGA-PBE optimized geometry; values from VASP
&SYSTEM
  ibrav = 0, nat = 5, ntyp = 3
/
ATOMIC_SPECIES
Fe 55.84 Fe.upf
B 10.81 B.upf
Zr 91.22 Zr.upf
CELL_PARAMETERS angstrom
-3.423 -2.680 -1.344
2.792 -3.592 0.054
-1.093 -0.784 4.347
ATOMIC_POSITIONS angstrom
Fe -0.862 -3.528 1.528
B 0.000 0.000 0.000
Zr 1.396 -1.796 0.027
Zr -0.546 -0.392 2.173
Zr -1.711 -1.340 -0.672
! Calculated volume, Å³/cell: 94.2
! Total DFT energy (no corrections), eV per atom: -7.907
! DFT formation energy, meV per atom: 250
! Magnetization, μB/atom: 0.00
! Distance to the lowest polymorph of the same formula, eV/atom: 0.000